Record 1
Compound: NiGe2Te
Source: the Alexandria database
Functional: PBE
Structure: relaxed

Cell and atoms, written as POSCAR:
```
NiGe2Te
1.0
-3.022 2.444 2.775
-3.727 2.265 -1.945
-4.429 -1.633 0.724
Ni Ge Te
1 2 1
direct
0.000 0.000 0.000
0.250 0.250 0.250
0.750 0.750 0.750
0.500 0.500 0.500
```

As for the space-group type: No. 225. Its distance to the lowest polymorph of the same formula is 408 meV per atom.



Record 2
Compound: NiGe2Te
Source: the Alexandria database
Functional: PBE
Structure: relaxed

Cell and atoms, written as POSCAR:
```
NiGe2Te
1.0
-1.193 1.917 5.420
-0.815 -5.536 1.779
4.572 -2.193 4.962
Ni Ge Te
2 4 2
direct
0.500 0.500 0.000
0.250 0.750 0.500
0.546 0.125 0.250
0.204 0.625 0.250
0.375 0.454 0.750
0.875 0.796 0.750
0.000 0.000 0.000
0.750 0.250 0.500
```

As for the space-group type: No. 122. Its distance to the lowest polymorph of the same formula is 0 meV per atom.



Record 3
Compound: Ni11Ge2Te4
Source: the Alexandria database
Functional: PBE
Structure: relaxed

Cell and atoms, written as POSCAR:
```
Ni11Ge2Te4
1.0
-0.893 3.621 -0.107
-1.406 -0.245 3.447
17.088 4.428 7.283
Ni Ge Te
11 2 4
direct
0.000 0.500 0.411
0.500 0.000 0.915
0.500 0.000 0.411
0.000 0.500 0.915
0.500 0.000 0.090
0.000 0.500 0.586
0.000 0.500 0.090
0.500 0.000 0.586
0.500 0.500 0.002
0.000 0.000 0.499
0.500 0.500 0.309
0.000 0.000 0.002
0.500 0.500 0.498
0.000 0.000 0.317
0.500 0.500 0.827
0.500 0.500 0.177
0.000 0.000 0.675
```

As for the space-group type: No. 99.



| no. | total DFT energy (no corrections) (eV/f.u.) | DOS at the Fermi energy (states/eV per cell) | M_tot (μB/atom) |
| --- | --- | --- | --- |
| 1 | -16.15 | 2.72 | 0.000 |
| 2 | -17.78 | 3.04 | 0.000 |
| 3 | -89.36 | 8.50 | 0.000 |